No. 1
Density functional theory data (PBE) for a relaxed structure of LiFeIr.

Distance to the lowest polymorph of the same formula in meV per atom: 20.3
ΔH_f (0 K) in meV/atom: -18

a b c (Å): 8.7233 4.0830 5.0792
angles (deg): 90.00 124.32 90.00
Space group Cm (No. 8)
Inequivalent atoms, fractional coordinates:
Li 0.0000 0.0000 0.0000 x2
Li 0.1390 0.5000 0.0170 x2
Fe 0.3181 0.0000 0.4968 x2
Fe 0.4708 0.5000 0.4668 x2
Ir 0.1573 0.5000 0.5376 x2
Ir 0.3167 0.0000 0.9973 x2

No. 2
Density functional theory data (PBE) for a relaxed structure of SrAg2Cl.

E_form (uncorrected) in eV per atom: -0.563
Distance to the lowest polymorph of the same formula in meV per atom: 203.9

a b c (Å): 4.9446 6.0007 7.3093
angles (deg): 90.00 90.00 90.00
Space group Imm2 (No. 44)
Inequivalent atoms, fractional coordinates:
Sr 0.0000 0.0000 0.0000 x2
Ag 0.0000 0.0000 0.5262 x2
Ag 0.0000 0.5000 0.1956 x2
Cl 0.0000 0.5000 0.7144 x2

No. 3
Density functional theory data (PBE) for a relaxed structure of ZnAgP2.

ΔH_f (0 K) in meV/atom: 464

a b c (Å): 3.8478 3.8478 8.9027
angles (deg): 90.00 90.00 90.00
Space group I-4m2 (No. 119)
Inequivalent atoms, fractional coordinates:
Zn 0.0000 0.0000 0.0000 x2
Ag 0.0000 0.5000 0.7500 x2
P 0.0000 0.0000 0.5000 x2
P 0.0000 0.5000 0.2500 x2

No. 4
Density functional theory data (PBE) for a relaxed structure of SrAcMgSi.

E_form (uncorrected) in eV per atom: -0.136

a b c (Å): 7.8785 7.8785 7.8785
angles (deg): 90.00 90.00 90.00
Space group F-43m (No. 216)
Inequivalent atoms, fractional coordinates:
Sr 0.0000 0.0000 0.0000 x4
Ac 0.0000 0.0000 0.5000 x4
Mg 0.2500 0.2500 0.7500 x4
Si 0.2500 0.2500 0.2500 x4

No. 5
Density functional theory data (PBE) for a relaxed structure of PmSnPt5.

ΔH_f (0 K) in meV/atom: -670

a b c (Å): 8.8434 5.4838 10.8755
angles (deg): 90.00 90.00 90.00
Space group Pnma (No. 62)
Inequivalent atoms, fractional coordinates:
Pm 0.2489 0.2500 0.0520 x4
Sn 0.1533 0.2500 0.3513 x4
Pt 0.0581 0.2500 0.5779 x4
Pt 0.0622 0.5069 0.7983 x8
Pt 0.0942 0.7500 0.0175 x4
Pt 0.1868 0.7500 0.2625 x4

No. 6
Density functional theory data (PBE) for a relaxed structure of BaY2MgV.

ΔH_f (0 K) in meV/atom: 611

a b c (Å): 5.4737 5.4737 5.8809
angles (deg): 90.00 90.00 90.00
Space group P4/mmm (No. 123)
Inequivalent atoms, fractional coordinates:
Ba 0.0000 0.0000 0.0000 x1
Y 0.0000 0.5000 0.5000 x2
Mg 0.5000 0.5000 0.0000 x1
V 0.0000 0.0000 0.5000 x1

No. 7
Density functional theory data (PBE) for a relaxed structure of VRhS2.

E_form (uncorrected) in eV per atom: -0.553

a b c (Å): 3.2498 3.2498 18.9752
angles (deg): 90.00 90.00 120.00
Space group R3m (No. 160, hexagonal axes)
Inequivalent atoms, fractional coordinates:
V 0.0000 0.0000 0.0000 x3
Rh 0.0000 0.0000 0.1473 x3
S 0.0000 0.0000 0.5865 x3
S 0.0000 0.0000 0.7399 x3